Record 1
Below is TiAgRu2N after structural relaxation, with properties calculated at the GGA-PBE level.

Lattice parameters (Å, degrees): 4.030 4.030 4.335 90.00 90.00 90.00
Fractional positions:
Ti  0.000  0.000  0.000
Ag  0.500  0.500  0.000
Ru  0.000  0.500  0.500
Ru  0.500  0.000  0.500
N  0.500  0.500  0.500

**Raw formation energy**: 300.2 meV/atom
**Electronic total energy**: -7.224 eV per atom
**Symmetry**: No. 123

***

Record 2
Below is In2ReGe after structural relaxation, with properties calculated at the GGA-PBE level.

Lattice parameters (Å, degrees): 10.737 10.737 10.737 158.60 158.60 30.45
Fractional positions:
In  0.119  0.625  0.994
In  0.375  0.369  0.494
In  0.631  0.125  0.006
In  0.875  0.881  0.506
Re  0.000  0.000  0.000
Re  0.750  0.250  0.500
Ge  0.250  0.750  0.500
Ge  0.500  0.500  0.000

**Electronic total energy**: -4.825 eV per atom
**Energy relative to the elements**: 811.0 meV/atom
**Symmetry**: No. 122

***

Record 3
Below is La4Nd3In4 after structural relaxation, with properties calculated at the GGA-PBE level.

Lattice parameters (Å, degrees): 11.266 11.266 11.266 160.80 129.49 54.53
Fractional positions:
La  0.007  0.836  0.171
La  0.334  0.164  0.171
La  0.666  0.836  0.829
La  0.993  0.164  0.829
Nd  0.000  0.500  0.500
Nd  0.407  0.407  0.000
Nd  0.593  0.593  0.000
In  0.277  0.777  0.500
In  0.280  0.000  0.280
In  0.720  0.000  0.720
In  0.723  0.223  0.500

**Electronic total energy**: -4.425 eV per atom
**Energy relative to the elements**: -336.8 meV/atom
**Symmetry**: No. 71

***

Record 4
Below is TaAlZn2 after structural relaxation, with properties calculated at the GGA-PBE level.

Lattice parameters (Å, degrees): 4.493 4.493 4.493 60.00 60.00 60.00
Fractional positions:
Ta  0.000  0.000  0.000
Al  0.750  0.750  0.750
Zn  0.250  0.250  0.250
Zn  0.500  0.500  0.500

**Electronic total energy**: -4.250 eV per atom
**Energy relative to the elements**: 286.1 meV/atom
**Symmetry**: No. 216

***

Record 5
Below is NaLi2AsO after structural relaxation, with properties calculated at the GGA-PBE level.

Lattice parameters (Å, degrees): 4.868 4.868 4.811 90.00 90.00 90.00
Fractional positions:
Na  0.000  0.000  0.000
Li  0.000  0.500  0.000
Li  0.500  0.000  0.000
As  0.000  0.000  0.500
O  0.500  0.500  0.500

**Raw formation energy**: 710.0 meV/atom
**Electronic total energy**: -2.241 eV per atom
**Symmetry**: No. 123

***

Record 6
Below is HfNbV2 after structural relaxation, with properties calculated at the GGA-PBE level.

Lattice parameters (Å, degrees): 3.228 3.228 6.515 90.00 90.00 90.00
Fractional positions:
Hf  0.000  0.000  0.000
Nb  0.000  0.000  0.500
V  0.500  0.500  0.277
V  0.500  0.500  0.723

**Electronic total energy**: -9.476 eV per atom
**Energy relative to the elements**: 89.4 meV/atom
**Symmetry**: No. 123
**Relative energy among the computed polymorphs**: 0.000 eV per atom